# TiBeNi2F PBE with a Hubbard U relaxed
# - spin magnetization (μB per formula unit) = 0.00
# - density (g cm⁻³) = 5.27
# - raw total energy (eV/atom) = -3.167
# - crystal system = tetragonal
data_TiBeNi2F
_chemical_formula_sum 'Ti1 Be1 Ni2 F1'
_space_group_name_H-M_alt 'P 4/m m m'
_space_group_IT_number 123
_space_group_name_Hall '-P 4 2'
_cell_length_a 3.930
_cell_length_b 3.930
_cell_length_c 3.946
_cell_angle_alpha 90.00
_cell_angle_beta 90.00
_cell_angle_gamma 90.00
loop_
_atom_site_label
_atom_site_fract_x
_atom_site_fract_y
_atom_site_fract_z
_atom_site_occupancy
Ti1 0.000 0.000 0.000 1
Be1 0.500 0.500 0.000 1
Ni1 0.000 0.500 0.500 1
F1 0.000 0.000 0.500 1